No. 1
## Er4AgIr2 (PBE-GGA)

Data for crystalline Er4AgIr2 at its relaxed geometry.

Cell lengths 7.2874, 7.3460, 7.6915 Å; angles 109.32, 109.03, 107.92 degrees
With the nearest neighbours (Å) after each atom.
Atoms (fractional coordinates):
Ir (0.7530, 0.8737, 0.3800)  6 Er 2.76-3.04
Er (0.5030, 0.7674, 0.9132)  3 Ir 2.75-3.01, 1 Ag 2.94
Er (0.2550, 0.1373, 0.7518)  2 Ir 2.72-2.85, 1 Ag 2.93
Ir (0.6231, 0.2436, 0.1197)  6 Er 2.76-3.04
Er (0.3743, 0.4948, 0.2149)  3 Ir 2.76-3.04, 1 Ag 2.91
Ir (0.4934, 0.3877, 0.6337)  4 Er 2.72-2.87
Er (0.4094, 0.0303, 0.2857)  3 Ir 2.76-3.04, 1 Ag 2.91
Ir (0.1098, 0.5023, 0.8651)  4 Er 2.72-2.87
Ag (0.2582, 0.7366, 0.5073)  7 Er 2.91-3.25
Er (0.0074, 0.2478, 0.3889)  3 Ir 2.77-3.05, 1 Ag 3.01
Er (0.7532, 0.1356, 0.7484)  2 Ir 2.72-2.85, 1 Ag 2.93
Ag (0.0012, 0.9794, 0.9929)  7 Er 2.91-3.25
Er (0.8401, 0.6046, 0.5873)  3 Ir 2.74-3.01, 1 Ag 2.94
Er (0.8689, 0.6088, 0.1110)  3 Ir 2.77-3.05, 1 Ag 3.01

## Properties
- Magnetic moment: 0.00 μB/atom
- Energy relative to the lowest polymorph listed for this composition: 0.059 eV per atom
- Space group: P1
- Final energy: -6.183 eV per atom

No. 2
## Er4AgIr (PBE-GGA)

Data for crystalline Er4AgIr at its relaxed geometry.

Cell lengths 4.8556, 4.8563, 6.9547 Å; angles 89.97, 89.99, 90.00 degrees
With the nearest neighbours (Å) after each atom.
Atoms (fractional coordinates):
Ag (0.5013, 0.4972, 0.9982)  8 Er 3.05-3.06
Er (0.5012, 0.9970, 0.2646)  2 Ir 2.92, 2 Ag 3.05, 1 Er 3.25
Ir (0.0013, 0.9973, 0.4981)  8 Er 2.92
Er (0.5014, 0.9976, 0.7316)  2 Ir 2.92, 2 Ag 3.05-3.06, 1 Er 3.25
Er (0.0015, 0.4976, 0.7317)  2 Ir 2.92, 2 Ag 3.05, 1 Er 3.25
Er (0.0011, 0.4970, 0.2646)  2 Ir 2.92, 2 Ag 3.05, 1 Er 3.25

## Properties
- Magnetic moment: 0.00 μB/atom
- Energy relative to the lowest polymorph listed for this composition: 0.156 eV per atom
- Space group: P4/mmm
- Final energy: -5.358 eV per atom

No. 3
## Er3Ag2Ir2 (PBE-GGA)

Data for crystalline Er3Ag2Ir2 at its relaxed geometry.

Cell lengths 5.0008, 4.9105, 8.4956 Å; angles 99.88, 107.49, 119.68 degrees
With the nearest neighbours (Å) after each atom.
Atoms (fractional coordinates):
Er (0.0000, 0.0000, 0.0000)  2 Ir 2.67
Er (0.6210, 0.9159, 0.3318)  4 Ir 2.80-3.02, 3 Ag 3.10-3.12
Ir (0.2844, 0.2268, 0.3569)  1 Ir 2.58, 4 Er 2.67-2.81
Ag (0.8181, 0.4680, 0.1696)  3 Ir 3.00-3.34, 6 Er 3.08-3.18
Ag (0.1819, 0.5320, 0.8304)  3 Ir 3.00-3.34, 6 Er 3.08-3.18
Er (0.3790, 0.0841, 0.6682)  4 Ir 2.80-3.02, 3 Ag 3.10-3.12
Ir (0.7156, 0.7732, 0.6431)  1 Ir 2.58, 4 Er 2.67-2.81

## Properties
- Magnetic moment: 0.00 μB/atom
- Space group: P-1
- Final energy: -5.754 eV per atom

No. 4
## Er3Ag2Ir (PBE-GGA)

Data for crystalline Er3Ag2Ir at its relaxed geometry.

Cell lengths 4.9660, 4.9660, 6.1483 Å; angles 90.00, 90.00, 120.00 degrees
With the nearest neighbours (Å) after each atom.
Atoms (fractional coordinates):
Ag (0.3333, 0.6667, 0.6491)  8 Er 3.01-3.13
Ag (0.6667, 0.3333, 0.3509)  8 Er 3.01-3.13
Er (0.3333, 0.6667, 0.1464)  3 Ir 3.00, 5 Ag 3.06-3.13
Er (0.0000, 0.0000, 0.5000)  6 Ag 3.01, 2 Ir 3.07
Ir (0.0000, 0.0000, 0.0000)  8 Er 3.00-3.07
Er (0.6667, 0.3333, 0.8536)  3 Ir 3.00, 5 Ag 3.06-3.13

## Properties
- Magnetic moment: 0.00 μB/atom
- Space group: P-3m1
- Final energy: -5.257 eV per atom

No. 5
## Er8AgIr2 (PBE-GGA)

Data for crystalline Er8AgIr2 at its relaxed geometry.

Cell lengths 5.5168, 7.7122, 7.7122 Å; angles 112.71, 98.07, 98.07 degrees
With the nearest neighbours (Å) after each atom.
Atoms (fractional coordinates):
Er (0.4107, 0.6726, 0.9331)  2 Ir 2.83-2.84
Ag (0.0023, 0.0030, 0.0030)  4 Er 3.10-3.13
Er (0.5887, 0.3336, 0.0731)  2 Ir 2.83-2.84
Er (0.9998, 0.2444, 0.7618)  2 Ir 2.89-2.90, 1 Ag 3.10
Er (0.5887, 0.0731, 0.3336)  2 Ir 2.83-2.84
Er (0.4107, 0.9331, 0.6726)  2 Ir 2.83-2.84
Er (0.1945, 0.3807, 0.3807)  2 Ir 3.00, 1 Ag 3.13, 1 Er 3.36
Er (0.9998, 0.7618, 0.2444)  2 Ir 2.89-2.90, 1 Ag 3.10
Ir (0.4997, 0.6934, 0.3127)  8 Er 2.83-3.00
Er (0.8049, 0.6254, 0.6254)  2 Ir 3.00, 1 Ag 3.13, 1 Er 3.36
Ir (0.4997, 0.3127, 0.6934)  8 Er 2.83-3.00

## Properties
- Magnetic moment: 0.00 μB/atom
- Space group: Cm
- Final energy: -5.583 eV per atom

No. 6
## LaErAgIr (PBE-GGA)

Data for crystalline LaErAgIr at its relaxed geometry.

Cell lengths 5.0834, 5.0834, 5.0834 Å; angles 60.00, 60.00, 60.00 degrees
With the nearest neighbours (Å) after each atom.
Atoms (fractional coordinates):
La (0.5000, 0.5000, 0.5000)  4 Ir 3.11, 4 Ag 3.11
Er (0.0000, 0.0000, 0.0000)  4 Ag 3.11, 4 Ir 3.11
Ir (0.7500, 0.7500, 0.7500)  4 Er 3.11, 4 La 3.11
Ag (0.2500, 0.2500, 0.2500)  4 La 3.11, 4 Er 3.11

## Properties
- Magnetic moment: 0.00 μB/atom
- Space group: F-43m
- Final energy: -5.807 eV per atom

No. 7
## ErLuAgIr (PBE-GGA)

Data for crystalline ErLuAgIr at its relaxed geometry.

Cell lengths 4.8992, 4.8992, 4.8992 Å; angles 60.00, 60.00, 60.00 degrees
With the nearest neighbours (Å) after each atom.
Atoms (fractional coordinates):
Ir (0.5000, 0.5000, 0.5000)  4 Er 3.00, 4 Lu 3.00
Ag (0.0000, 0.0000, 0.0000)  4 Er 3.00, 4 Lu 3.00
Er (0.7500, 0.7500, 0.7500)  4 Ag 3.00, 4 Ir 3.00
Lu (0.2500, 0.2500, 0.2500)  4 Ir 3.00, 4 Ag 3.00

## Properties
- Magnetic moment: 0.00 μB/atom
- Space group: F-43m
- Final energy: -5.859 eV per atom

No. 8
## ErPaAgIr (PBE-GGA)

Data for crystalline ErPaAgIr at its relaxed geometry.

Cell lengths 4.9757, 4.9757, 4.9757 Å; angles 60.00, 60.00, 60.00 degrees
With the nearest neighbours (Å) after each atom.
Atoms (fractional coordinates):
Pa (0.0000, 0.0000, 0.0000)  4 Ag 3.05, 4 Ir 3.05
Ag (0.2500, 0.2500, 0.2500)  4 Pa 3.05, 4 Er 3.05
Er (0.5000, 0.5000, 0.5000)  4 Ir 3.05, 4 Ag 3.05
Ir (0.7500, 0.7500, 0.7500)  4 Er 3.05, 4 Pa 3.05

## Properties
- Magnetic moment: 0.18 μB/atom
- Space group: F-43m
- Final energy: -6.779 eV per atom

No. 9
## Er4AgIr2Pd (PBE-GGA)

Data for crystalline Er4AgIr2Pd at its relaxed geometry.

Cell lengths 4.8946, 4.8946, 8.4665 Å; angles 73.20, 73.20, 60.00 degrees
With the nearest neighbours (Å) after each atom.
Atoms (fractional coordinates):
Pd (0.5000, 0.5000, 0.5000)  8 Er 2.95-2.98
Er (0.3769, 0.3769, 0.8692)  1 Pd 2.95, 4 Ir 2.98-3.02, 3 Ag 3.01
Er (0.6231, 0.6231, 0.1308)  1 Pd 2.95, 4 Ir 2.98-3.02, 3 Ag 3.01
Ag (0.0000, 0.0000, 0.0000)  8 Er 3.01-3.04
Ir (0.7493, 0.7493, 0.7520)  8 Er 2.96-3.02
Er (0.1268, 0.1268, 0.6195)  4 Ir 2.96-3.02, 3 Pd 2.98, 1 Ag 3.04
Er (0.8732, 0.8732, 0.3805)  4 Ir 2.96-3.02, 3 Pd 2.98, 1 Ag 3.04
Ir (0.2507, 0.2507, 0.2480)  8 Er 2.96-3.02

## Properties
- Magnetic moment: 0.00 μB/atom
- Space group: R-3m
- Final energy: -6.299 eV per atom

No. 10
## ErPuAgIr (PBE-GGA)

Data for crystalline ErPuAgIr at its relaxed geometry.

Cell lengths 4.9674, 4.9674, 4.9674 Å; angles 60.00, 60.00, 60.00 degrees
With the nearest neighbours (Å) after each atom.
Atoms (fractional coordinates):
Ir (0.5000, 0.5000, 0.5000)  4 Er 3.04, 4 Pu 3.04
Pu (0.7500, 0.7500, 0.7500)  4 Ir 3.04, 4 Ag 3.04
Ag (0.0000, 0.0000, 0.0000)  4 Er 3.04, 4 Pu 3.04
Er (0.2500, 0.2500, 0.2500)  4 Ag 3.04, 4 Ir 3.04

## Properties
- Magnetic moment: 1.40 μB/atom
- Space group: F-43m
- Final energy: -8.016 eV per atom

No. 11
## Er4AgIr2Rh (PBE-GGA)

Data for crystalline Er4AgIr2Rh at its relaxed geometry.

Cell lengths 4.8598, 4.8598, 8.4287 Å; angles 73.24, 73.24, 60.00 degrees
With the nearest neighbours (Å) after each atom.
Atoms (fractional coordinates):
Rh (0.5000, 0.5000, 0.5000)  8 Er 2.90-2.96
Ag (0.0000, 0.0000, 0.0000)  8 Er 3.00-3.04
Er (0.1276, 0.1276, 0.6173)  4 Ir 2.94-3.00, 3 Rh 2.96, 1 Ag 3.04
Ir (0.7493, 0.7493, 0.7521)  8 Er 2.94-3.04
Er (0.6218, 0.6218, 0.1347)  1 Rh 2.90, 4 Ir 2.95-3.04, 3 Ag 3.00
Er (0.3782, 0.3782, 0.8653)  1 Rh 2.90, 4 Ir 2.95-3.04, 3 Ag 3.00
Ir (0.2507, 0.2507, 0.2479)  8 Er 2.94-3.04
Er (0.8724, 0.8724, 0.3827)  4 Ir 2.94-3.00, 3 Rh 2.96, 1 Ag 3.04

## Properties
- Magnetic moment: 0.00 μB/atom
- Space group: R-3m
- Final energy: -6.575 eV per atom

No. 12
## SmErAgIr (PBE-GGA)

Data for crystalline SmErAgIr at its relaxed geometry.

Cell lengths 5.0053, 5.0053, 5.0053 Å; angles 60.00, 60.00, 60.00 degrees
With the nearest neighbours (Å) after each atom.
Atoms (fractional coordinates):
Sm (0.5000, 0.5000, 0.5000)  4 Ag 3.07, 4 Ir 3.07
Ag (0.2500, 0.2500, 0.2500)  4 Er 3.07, 4 Sm 3.07
Er (0.0000, 0.0000, 0.0000)  4 Ir 3.07, 4 Ag 3.07
Ir (0.7500, 0.7500, 0.7500)  4 Sm 3.07, 4 Er 3.07

## Properties
- Magnetic moment: 0.00 μB/atom
- Space group: F-43m
- Final energy: -5.805 eV per atom

> Which value of final energy does entry 12 give?

-5.805 eV per atom